(1)
Entry from Alexandria via LeMat-Bulk: KCdTc at its PBEsol-relaxed geometry (SCAN).

Its size of the total moment is 3.723 μB/f.u. For the total energy, the calculation gives -68.5 eV/f.u. As for the calculated formation energy: 5.28 eV/f.u. The calculation puts the excess energy over the best structure of this formula in the dataset at 924 meV/atom.

The space group is F-43m (No. 216) and the conventional cell measures 7.067, 7.067 and 7.067 Å, with angles of 90.00, 90.00 and 90.00 degrees. The distinct sites, in fractional coordinates, are K at (0.000, 0.000, 0.000), Cd at (0.250, 0.250, 0.250) and Tc at (0.250, 0.250, 0.750).

=====

(2)
Entry from Alexandria via LeMat-Bulk: K2CdTc at its PBEsol-relaxed geometry (SCAN).

Its size of the total moment is 1.388 μB/f.u. For the total energy, the calculation gives -78.8 eV/f.u. As for the calculated formation energy: 3.30 eV/f.u.

The space group is Cm (No. 8) and the conventional cell measures 9.566, 2.816 and 9.444 Å, with angles of 90.00, 91.91 and 90.00 degrees. The distinct sites, in fractional coordinates, are K at (0.000, 0.000, 0.000), K at (0.235, 0.000, 0.577), Cd at (0.489, 0.000, 0.335) and Tc at (0.253, 0.500, 0.246).

=====

(3)
Entry from Alexandria via LeMat-Bulk: KCdTc at its PBEsol-relaxed geometry (SCAN).

Its size of the total moment is 0.000 μB/f.u. For the total energy, the calculation gives -71.3 eV/f.u. As for the calculated formation energy: 2.51 eV/f.u. The calculation puts the excess energy over the best structure of this formula in the dataset at 0 meV/atom.

The space group is I4mm (No. 107) and the conventional cell measures 2.747, 2.747 and 16.206 Å, with angles of 90.00, 90.00 and 90.00 degrees. The distinct sites, in fractional coordinates, are K at (0.000, 0.000, 0.000), Cd at (0.000, 0.000, 0.309) and Tc at (0.000, 0.000, 0.672).

=====

(4)
Entry from Alexandria via LeMat-Bulk: KCdTc at its PBEsol-relaxed geometry (SCAN).

Its size of the total moment is 3.109 μB/f.u. For the total energy, the calculation gives -69.7 eV/f.u. As for the calculated formation energy: 4.15 eV/f.u. The calculation puts the excess energy over the best structure of this formula in the dataset at 545 meV/atom.

The space group is F-43m (No. 216) and the conventional cell measures 6.882, 6.882 and 6.882 Å, with angles of 90.00, 90.00 and 90.00 degrees. The distinct sites, in fractional coordinates, are K at (0.000, 0.000, 0.000), Cd at (0.000, 0.000, 0.500) and Tc at (0.250, 0.250, 0.250).

=====

(5)
Entry from Alexandria via LeMat-Bulk: K2CdTc at its PBEsol-relaxed geometry (SCAN).

Its size of the total moment is 2.138 μB/f.u. For the total energy, the calculation gives -78.2 eV/f.u. As for the calculated formation energy: 3.96 eV/f.u.

The space group is Immm (No. 71) and the conventional cell measures 3.513, 4.849 and 11.425 Å, with angles of 90.00, 90.00 and 90.00 degrees. The distinct sites, in fractional coordinates, are K at (0.000, 0.000, 0.244), Cd at (0.000, 0.500, 0.000) and Tc at (0.000, 0.500, 0.500).

=====

(6)
Entry from Alexandria via LeMat-Bulk: KCdTe2 at its PBEsol-relaxed geometry (SCAN).

Its size of the total moment is 0.000 μB/f.u. For the total energy, the calculation gives -114.4 eV/f.u. Its energy relative to the elements, uncorrected is -110 kJ/mol of formula units.

The space group is I4/mmm (No. 139) and the conventional cell measures 4.840, 4.840 and 9.778 Å, with angles of 90.00, 90.00 and 90.00 degrees. The distinct sites, in fractional coordinates, are K at (0.000, 0.000, 0.000), Cd at (0.000, 0.000, 0.500) and Te at (0.000, 0.500, 0.250).

=====

(7)
Entry from Alexandria via LeMat-Bulk: KCdTe2 at its PBEsol-relaxed geometry (SCAN).

Its size of the total moment is 0.000 μB/f.u. For the total energy, the calculation gives -115.3 eV/f.u. Its energy relative to the elements, uncorrected is -195 kJ/mol of formula units.

The space group is Pm (No. 6) and the conventional cell measures 3.164, 6.139 and 6.138 Å, with angles of 90.00, 90.05 and 90.00 degrees. The distinct sites, in fractional coordinates, are K at (0.000, 0.000, 0.000), Cd at (0.501, 0.500, 0.503), Te at (0.431, 0.000, 0.500) and Te at (0.570, 0.500, 0.002).

=====

(8)
Entry from Alexandria via LeMat-Bulk: KCdTe2 at its PBEsol-relaxed geometry (SCAN).

Its size of the total moment is 0.000 μB/f.u. For the total energy, the calculation gives -115.0 eV/f.u. Its energy relative to the elements, uncorrected is -169 kJ/mol of formula units.

The space group is Immm (No. 71) and the conventional cell measures 4.268, 6.262 and 9.411 Å, with angles of 90.00, 90.00 and 90.00 degrees. The distinct sites, in fractional coordinates, are K at (0.000, 0.000, 0.000), Cd at (0.000, 0.000, 0.500) and Te at (0.000, 0.500, 0.206).

=====

no.,N(E_F) (states/eV/f.u.)
1,2.43
2,2.29
3,1.59
4,3.77
5,2.10
6,1.44
7,1.30
8,2.37